1.
DFT (PBE-GGA) results for a relaxed TbTm4AgS8 crystal.

Calculated values
SG = R3m, No. 160
raw formation energy = -25.6 eV/f.u.
E_tot = -6.00 eV per atom

a = 7.931 Å, b = 7.931 Å, c = 7.975 Å
α = 60.18°, β = 60.18°, γ = 60.00°
Positions (direct):
Ag: 0.374 0.374 0.878
S: 0.759 0.759 0.724
S: 0.245 0.245 0.737
S: 0.245 0.774 0.737
Tm: 0.004 0.487 0.504
S: 0.756 0.756 0.262
Tm: 0.004 0.004 0.504
Tm: 0.487 0.004 0.504
Tm: 0.626 0.626 0.123
S: 0.774 0.245 0.737
S: 0.756 0.226 0.262
S: 0.242 0.242 0.275
S: 0.226 0.756 0.262
Tb: 0.004 0.004 0.987

***

2.
DFT (PBE-GGA) results for a relaxed GdAl2Fe crystal.

Calculated values
calculated formation energy = -0.058 eV/atom
SG = R-3m, No. 166
relative energy among the computed polymorphs = 217 meV/atom
E_tot = -7.57 eV per atom

a = 4.655 Å, b = 4.655 Å, c = 4.649 Å
α = 59.96°, β = 59.96°, γ = 60.00°
Each line ends with the local moment (μB).
Positions (direct):
Gd: 0.500 0.500 0.500  -6.88
Al: 0.250 0.250 0.251  0.02
Al: 0.750 0.750 0.749  0.02
Fe: 0.000 0.000 0.000  -2.25

***

3.
DFT (PBE-GGA) results for a relaxed LiAcErPb2 crystal.

Calculated values
calculated formation energy = -0.400 eV/atom
SG = I-4m2, No. 119
E_tot = -4.00 eV per atom

a = 4.795 Å, b = 4.795 Å, c = 7.513 Å
α = 108.61°, β = 108.61°, γ = 90.00°
Positions (direct):
Pb: 0.614 0.614 0.229
Ac: 0.000 0.000 0.000
Pb: 0.386 0.386 0.771
Er: 0.750 0.250 0.500
Li: 0.250 0.750 0.500

***

4.
DFT (PBE-GGA) results for a relaxed Tm3Si6Rh20 crystal.

Calculated values
SG = Fm-3m, No. 225
raw formation energy = -19.9 eV/f.u.
E_tot = -7.34 eV per atom

a = 8.523 Å, b = 8.523 Å, c = 8.523 Å
α = 60.00°, β = 60.00°, γ = 60.00°
Each line ends with the local moment (μB).
Positions (direct):
Rh: 0.000 0.658 0.000  0.34
Si: 0.274 0.726 0.274  0.00
Rh: 0.619 0.142 0.619  0.04
Rh: 0.658 0.000 0.342  0.34
Rh: 0.342 0.658 0.000  0.34
Si: 0.726 0.726 0.274  0.00
Rh: 0.342 0.000 0.000  0.34
Rh: 0.000 0.000 0.342  0.34
Rh: 0.342 0.000 0.658  0.34
Si: 0.726 0.274 0.726  0.00
Si: 0.726 0.274 0.274  0.00
Rh: 0.658 0.342 0.000  0.34
Rh: 0.000 0.658 0.342  0.34
Rh: 0.658 0.000 0.000  0.34
Tm: 0.750 0.750 0.750  -0.01
Rh: 0.858 0.381 0.381  0.04
Rh: 0.142 0.619 0.619  0.04
Rh: 0.619 0.619 0.142  0.04
Si: 0.274 0.726 0.726  0.00
Rh: 0.381 0.381 0.858  0.04
Tm: 0.250 0.250 0.250  -0.01
Rh: 0.000 0.342 0.658  0.34
Si: 0.274 0.274 0.726  0.00
Rh: 0.619 0.619 0.619  0.04
Rh: 0.381 0.381 0.381  0.04
Rh: 0.381 0.858 0.381  0.04
Rh: 0.000 0.342 0.000  0.34
Tm: 0.000 0.000 0.000  -0.02
Rh: 0.000 0.000 0.658  0.34

***

5.
DFT (PBE-GGA) results for a relaxed Ta2ReSb crystal.

Calculated values
SG = P2/m, No. 10
raw formation energy = 0.5 eV/f.u.
E_tot = -9.95 eV per atom

a = 4.229 Å, b = 3.070 Å, c = 6.181 Å
α = 64.13°, β = 90.00°, γ = 90.00°
Positions (direct):
Ta: 0.000 0.455 0.484
Re: 0.500 0.250 0.250
Sb: 0.500 0.750 0.750
Ta: 0.000 0.045 0.016

***

6.
DFT (PBE-GGA) results for a relaxed MoHN3 crystal.

Calculated values
SG = Pm-3m, No. 221
E_tot = -6.08 eV per atom

a = 3.286 Å, b = 3.286 Å, c = 3.286 Å
α = 90.00°, β = 90.00°, γ = 90.00°
Positions (direct):
N: 0.000 0.000 0.500
N: 0.000 0.500 0.000
Mo: 0.500 0.500 0.500
N: 0.500 0.000 0.000
H: 0.000 0.000 0.000

***

7.
DFT (PBE-GGA) results for a relaxed TbCe2Ho3Se6 crystal.

Calculated values
SG = C2/m, No. 12
raw formation energy = -21.3 eV/f.u.
E_tot = -6.03 eV per atom

a = 7.087 Å, b = 7.087 Å, c = 7.181 Å
α = 99.48°, β = 99.48°, γ = 120.10°
Each line ends with the local moment (μB).
Positions (direct):
Se: 0.584 0.913 0.740  -0.01
Se: 0.913 0.584 0.740  -0.01
Se: 0.087 0.416 0.260  -0.01
Se: 0.758 0.758 0.260  -0.01
Tb: 0.000 0.000 0.000  0.03
Se: 0.416 0.087 0.260  -0.01
Ho: 0.167 0.833 0.500  -0.01
Ho: 0.833 0.167 0.500  -0.01
Ho: 0.500 0.500 0.500  0.00
Se: 0.242 0.242 0.740  -0.01
Ce: 0.334 0.666 0.000  0.78
Ce: 0.666 0.334 0.000  0.78

***

8.
DFT (PBE-GGA) results for a relaxed TaAs4Ir crystal.

Calculated values
calculated formation energy = 0.793 eV/atom
SG = F-43m, No. 216
E_tot = -5.76 eV per atom

a = 5.311 Å, b = 5.311 Å, c = 5.311 Å
α = 60.00°, β = 60.00°, γ = 60.00°
Positions (direct):
Ta: 0.000 0.000 0.000
As: 0.375 0.375 0.375
As: 0.375 0.875 0.375
As: 0.375 0.375 0.875
Ir: 0.750 0.750 0.750
As: 0.875 0.375 0.375

***

> Which value of E_tot does entry 2 give?

-7.57 eV per atom

***

> Look up the E_tot of the sixth one.

-6.08 eV per atom